(1)
The following is a DFT calculation (PBEsol) of a relaxed structure of LiCa2AlN.

Geometry as POSCAR:
```
LiCa2AlN
1.0
4.844 0.000 0.000
0.000 4.844 0.000
0.000 0.000 4.226
Li Ca Al N
1 2 1 1
Direct
0.000 0.000 0.000
0.000 0.500 0.500
0.500 0.000 0.500
0.500 0.500 0.000
0.000 0.000 0.500
```

Output
SG = P4/mmm (123)


(2)
The following is a DFT calculation (PBEsol) of a relaxed structure of InSbPt2Au.

Geometry as POSCAR:
```
InSbPt2Au
1.0
4.903 0.000 0.000
0.000 4.903 0.000
0.000 0.000 4.923
In Sb Pt Au
1 1 2 1
Direct
0.000 0.000 0.000
0.500 0.500 0.500
0.000 0.500 0.000
0.500 0.000 0.000
0.000 0.000 0.500
```

Output
SG = P4/mmm (123)


(3)
The following is a DFT calculation (PBEsol) of a relaxed structure of Y3Cu3Sb4.

Geometry as POSCAR:
```
Y3Cu3Sb4
1.0
-4.726 4.726 4.726
4.726 -4.726 4.726
4.726 4.726 -4.726
Y Cu Sb
6 6 8
Direct
0.125 0.875 0.250
0.250 0.125 0.875
0.375 0.625 0.750
0.625 0.750 0.375
0.750 0.375 0.625
0.875 0.250 0.125
0.125 0.750 0.875
0.250 0.625 0.375
0.375 0.250 0.625
0.625 0.375 0.250
0.750 0.875 0.125
0.875 0.125 0.750
0.000 0.162 0.500
0.000 0.662 0.500
0.162 0.500 0.000
0.338 0.338 0.338
0.500 0.000 0.162
0.500 0.000 0.662
0.662 0.500 0.000
0.838 0.838 0.838
```

Output
SG = I-43d (220)


(4)
The following is a DFT calculation (PBEsol) of a relaxed structure of CaTc2Se.

Geometry as POSCAR:
```
CaTc2Se
1.0
5.185 -1.716 0.000
5.185 1.716 0.000
-1.243 0.000 4.277
Ca Tc Se
1 2 1
Direct
0.000 0.000 0.000
0.223 0.223 0.643
0.777 0.777 0.357
0.500 0.500 0.500
```

Output
SG = C2/m (12)


no.,formation energy without anion corrections (eV per atom)
1,-0.349
2,0.869
3,-0.783
4,0.143